# 1
A relaxed structure of KAg2H. Source: the Alexandria database, functional PBE-GGA.

Total magnetic moment in μB per formula unit: 0.000
Symmetry: I4_1/amd, No. 141
V in Å³/cell: 171.2
Uncorrected energy in eV/atom: -2.34
Density of states at the Fermi level in states/eV per atom: 0.1935

abc: 5.9148 5.9148 6.4377
angles: 62.65 62.65 90.00
Closest atoms and distances in Å follow each position.
Element x y z (fractional)
K: 0.0000 0.0000 0.0000  8 Ag 3.53, 4 H 3.84, 4 K 3.84
K: 0.7500 0.2500 0.5000  8 Ag 3.53, 4 H 3.84, 4 K 3.84
Ag: 0.3750 0.1250 0.2500  2 H 1.92
Ag: 0.3750 0.6250 0.2500  2 H 1.92
Ag: 0.3750 0.6250 0.7500  2 H 1.92
Ag: 0.8750 0.6250 0.7500  2 H 1.92
H: 0.5000 0.5000 0.0000  4 Ag 1.92
H: 0.2500 0.7500 0.5000  4 Ag 1.92

=====

# 2
A relaxed structure of Cs4Pu3ZrSe8. Source: the Alexandria database, functional PBE-GGA.

Total magnetic moment in μB per formula unit: 16.004
Symmetry: R-3m, No. 166
V in Å³/cell: 526.5
Uncorrected formation energy in kJ/mol of formula units: -2173
Density of states at the Fermi level in states/eV per atom: 2.1744

abc: 8.5281 9.6999 8.5280
angles: 116.06 120.00 90.00
Closest atoms and distances in Å follow each position.
Element x y z (fractional)
Pu: 0.0000 0.5000 0.5000  6 Se 2.92-2.96
Pu: 0.5000 0.5000 0.0000  6 Se 2.92-2.96
Pu: 0.5000 0.5000 0.5000  6 Se 2.92-2.96
Zr: 0.0000 0.5000 0.0000  6 Se 2.79
Se: 0.2711 0.3132 0.5422  3 Pu 2.92
Se: 0.7451 0.6830 0.9640  1 Zr 2.79, 2 Pu 2.96
Se: 0.2549 0.3170 0.0360  1 Zr 2.79, 2 Pu 2.96
Se: 0.2190 0.6831 0.4380  1 Zr 2.79, 2 Pu 2.96
Se: 0.7810 0.3170 0.0360  1 Zr 2.79, 2 Pu 2.96
Se: 0.2190 0.6830 0.9640  1 Zr 2.79, 2 Pu 2.96
Se: 0.7810 0.3169 0.5620  1 Zr 2.79, 2 Pu 2.96
Se: 0.7289 0.6868 0.4578  3 Pu 2.92
Cs: 0.5000 0.0000 0.5000  6 Se 3.57-3.59
Cs: 0.5000 0.0000 0.0000  6 Se 3.70-3.71
Cs: 0.0000 0.0000 0.0000  6 Se 3.57-3.59
Cs: 0.0000 0.0000 0.5000  6 Se 3.57-3.59

=====

# 3
A relaxed structure of PrThZn3. Source: the Alexandria database, functional PBE-GGA.

Total magnetic moment in μB per formula unit: 0.000
Symmetry: Cmcm, No. 63
V in Å³/cell: 232.1
Formation energy from the elements in meV/atom: -260
Density of states at the Fermi level in states/eV per atom: 0.9234

abc: 3.5734 4.5996 14.2359
angles: 90.00 97.21 90.00
Closest atoms and distances in Å follow each position.
Element x y z (fractional)
Pr: 0.2073 0.7500 0.4146  6 Zn 3.13
Pr: 0.7927 0.2500 0.5854  6 Zn 3.13
Th: 0.9294 0.7500 0.8587  12 Zn 3.18-3.25
Th: 0.0706 0.2500 0.1413  12 Zn 3.18-3.25
Zn: 0.3333 0.7500 0.6665  2 Zn 2.71
Zn: 0.6667 0.2500 0.3335  2 Zn 2.71
Zn: 0.4769 0.2500 0.9537  3 Zn 2.63-2.65
Zn: 0.5231 0.7500 0.0463  3 Zn 2.63-2.65
Zn: 0.6162 0.7500 0.2325  3 Zn 2.63-2.71
Zn: 0.3838 0.2500 0.7675  3 Zn 2.63-2.71

=====

# 4
A relaxed structure of Li2Pr2DyGa2. Source: the Alexandria database, functional PBE-GGA.

Total magnetic moment in μB per formula unit: 0.001
Symmetry: R-3m, No. 166
V in Å³/cell: 168.6
Formation energy from the elements in meV/atom: -287
Density of states at the Fermi level in states/eV per atom: 0.8417

abc: 4.6462 4.6462 9.4074
angles: 75.70 75.70 60.00
Closest atoms and distances in Å follow each position.
Element x y z (fractional)
Dy: 0.0000 0.0000 0.0000  6 Li 3.07, 6 Ga 3.21, 2 Pr 3.39
Pr: 0.1253 0.1253 0.6242  3 Ga 3.13, 3 Li 3.29, 1 Dy 3.39, 3 Pr 3.49
Pr: 0.8747 0.8747 0.3758  3 Ga 3.13, 3 Li 3.29, 1 Dy 3.39, 3 Pr 3.49
Ga: 0.2679 0.2679 0.1964  3 Li 2.70
Ga: 0.7321 0.7321 0.8036  3 Li 2.70
Li: 0.6116 0.6116 0.1653  3 Ga 2.70
Li: 0.3884 0.3884 0.8347  3 Ga 2.70